[1]
Material: Y2TlCl
Method: DFT, PBE
State: optimized geometry

Properties
Magnetization (μB per atom): 0.000
E above lowest polymorph (eV/atom): 0.249

Cell: 5.2862 5.2862 5.2862 Å, 60.00 60.00 60.00°
Fractional coordinates of all 4 atoms:
Cl (0.0000, 0.0000, 0.0000)
Tl (0.5000, 0.5000, 0.5000)
Y (0.7500, 0.7500, 0.7500)
Y (0.2500, 0.2500, 0.2500)

---

[2]
Material: La2CeTh3
Method: DFT, PBE
State: optimized geometry

Properties
Magnetization (μB per atom): 0.095
Energy of formation (eV/atom): 0.206

Cell: 6.7799 11.3925 7.6724 Å, 137.94 90.00 90.00°
Each line ends with the local moment (μB).
Fractional coordinates of all 12 atoms:
La (0.7500, 0.0975, 0.6593)  0.01
La (0.7500, 0.4382, 0.3407)  0.01
La (0.2500, 0.5618, 0.6593)  0.01
La (0.2500, 0.9025, 0.3407)  0.01
Th (0.5000, 0.1622, 0.3243)  0.01
Th (0.0000, 0.1622, 0.3243)  0.01
Th (0.0000, 0.8378, 0.6757)  0.01
Th (0.5000, 0.5000, 0.0000)  0.01
Th (0.5000, 0.8378, 0.6757)  0.01
Th (0.0000, 0.5000, 0.0000)  0.01
Ce (0.2500, 0.2266, 0.0000)  0.44
Ce (0.7500, 0.7734, 0.0000)  0.44

---

[3]
Material: CaBe2CuP
Method: DFT, PBE
State: optimized geometry

Properties
Magnetization (μB per atom): 0.000
Energy of formation (eV/atom): 0.431

Cell: 4.1705 5.1784 4.1705 Å, 90.00 90.00 90.00°
Fractional coordinates of all 5 atoms:
Cu (0.0000, 0.0000, 0.0000)
P (0.5000, 0.5000, 0.5000)
Be (0.0000, 0.0000, 0.5000)
Be (0.5000, 0.0000, 0.0000)
Ca (0.0000, 0.5000, 0.0000)

---

[4]
Material: HfTiHgPd
Method: DFT, PBE
State: optimized geometry

Properties
Magnetization (μB per atom): 0.000
Energy of formation (eV/atom): -0.375
E above lowest polymorph (eV/atom): 0.000

Cell: 3.3954 3.3954 6.4161 Å, 90.00 90.00 90.00°
Fractional coordinates of all 4 atoms:
Hg (0.0000, 0.0000, 0.3543)
Hf (0.0000, 0.0000, 0.8416)
Ti (0.5000, 0.5000, 0.1152)
Pd (0.5000, 0.5000, 0.6168)